1.
# SrTiS2N PBE optimized geometry
data_SrTiS2N
_chemical_formula_sum 'Sr1 Ti1 S2 N1'
_space_group_name_H-M_alt 'P 4/m m m'
_space_group_IT_number 123
_space_group_name_Hall '-P 4 2'
_cell_length_a 4.9012
_cell_length_b 4.9012
_cell_length_c 3.9450
_cell_angle_alpha 90.00
_cell_angle_beta 90.00
_cell_angle_gamma 90.00
loop_
_atom_site_label
_atom_site_fract_x
_atom_site_fract_y
_atom_site_fract_z
Sr1 0.0000 0.0000 0.0000
Ti1 0.5000 0.5000 0.5000
S1 0.0000 0.5000 0.5000
N1 0.5000 0.5000 0.0000
# Energy ... -6.37 eV/atom
# ΔE_f (raw) ... -1.14 eV/atom
# Energy relative to the lowest polymorph listed for this composition ... 0 meV per atom

---

2.
# Na2ScCr2 PBE optimized geometry
data_Na2ScCr2
_chemical_formula_sum 'Na4 Sc2 Cr4'
_space_group_name_H-M_alt 'P 4/m b m'
_space_group_IT_number 127
_space_group_name_Hall '-P 4 2ab'
_cell_length_a 8.5360
_cell_length_b 8.5360
_cell_length_c 2.8351
_cell_angle_alpha 90.00
_cell_angle_beta 90.00
_cell_angle_gamma 90.00
loop_
_atom_site_label
_atom_site_fract_x
_atom_site_fract_y
_atom_site_fract_z
Na1 0.2093 0.2907 0.0000
Sc1 0.0000 0.0000 0.5000
Cr1 0.0760 0.5760 0.5000
# Energy ... -4.64 eV/atom
# ΔH_f (0 K) ... 1.008 eV per atom
# Energy relative to the lowest polymorph listed for this composition ... 217 meV per atom

---

3.
# InAsOs PBE optimized geometry
data_InAsOs
_chemical_formula_sum 'In4 As4 Os4'
_space_group_name_H-M_alt 'F m m 2'
_space_group_IT_number 42
_space_group_name_Hall 'F 2 -2'
_cell_length_a 3.0768
_cell_length_b 5.0874
_cell_length_c 14.8015
_cell_angle_alpha 90.00
_cell_angle_beta 90.00
_cell_angle_gamma 90.00
loop_
_atom_site_label
_atom_site_fract_x
_atom_site_fract_y
_atom_site_fract_z
In1 0.0000 0.0000 0.0000
As1 0.0000 0.0000 0.2937
Os1 0.0000 0.0000 0.6646
# Energy ... -5.70 eV/atom
# ΔH_f (0 K) ... 0.505 eV per atom
# Energy relative to the lowest polymorph listed for this composition ... 325 meV per atom

---

4.
# Cr2CdRh PBE optimized geometry
data_Cr2CdRh
_chemical_formula_sum 'Cr2 Cd1 Rh1'
_space_group_name_H-M_alt 'P m m m'
_space_group_IT_number 47
_cell_length_a 3.8943
_cell_length_b 3.9081
_cell_length_c 4.0542
_cell_angle_alpha 90.00
_cell_angle_beta 90.00
_cell_angle_gamma 90.00
loop_
_space_group_symop_operation_xyz
'x,y,z'
'-x,-y,-z'
'-x,-y,z'
'x,y,-z'
'x,-y,-z'
'-x,y,z'
'-x,y,-z'
'x,-y,z'
loop_
_atom_site_label
_atom_site_fract_x
_atom_site_fract_y
_atom_site_fract_z
Cr1 0.0000 0.0000 0.0000
Cr2 0.5000 0.5000 0.0000
Cd1 0.0000 0.5000 0.5000
Rh1 0.5000 0.0000 0.5000
# Energy ... -6.72 eV/atom
# ΔH_f (0 K) ... 0.162 eV per atom

---

5.
# LiGa2Ag2 PBE optimized geometry
data_LiGa2Ag2
_chemical_formula_sum 'Li2 Ga4 Ag4'
_space_group_name_H-M_alt 'I 4/m m m'
_space_group_IT_number 139
_space_group_name_Hall '-I 4 2'
_cell_length_a 4.1261
_cell_length_b 4.1261
_cell_length_c 11.6403
_cell_angle_alpha 90.00
_cell_angle_beta 90.00
_cell_angle_gamma 90.00
loop_
_atom_site_label
_atom_site_fract_x
_atom_site_fract_y
_atom_site_fract_z
Li1 0.0000 0.0000 0.0000
Ga1 0.0000 0.0000 0.3957
Ag1 0.0000 0.5000 0.2500
# Energy ... -2.76 eV/atom
# ΔH_f (0 K) ... -0.030 eV per atom
# Energy relative to the lowest polymorph listed for this composition ... 133 meV per atom

---

6.
# BaLiAlPb2 PBE optimized geometry
data_BaLiAlPb2
_chemical_formula_sum 'Ba2 Li2 Al2 Pb4'
_space_group_name_H-M_alt 'I -4 m 2'
_space_group_IT_number 119
_space_group_name_Hall 'I -4 -2'
_cell_length_a 4.7765
_cell_length_b 4.7765
_cell_length_c 12.8692
_cell_angle_alpha 90.00
_cell_angle_beta 90.00
_cell_angle_gamma 90.00
loop_
_atom_site_label
_atom_site_fract_x
_atom_site_fract_y
_atom_site_fract_z
Ba1 0.0000 0.0000 0.0000
Li1 0.0000 0.5000 0.7500
Al1 0.0000 0.5000 0.2500
Pb1 0.0000 0.0000 0.3756
# Energy ... -3.31 eV/atom
# ΔH_f (0 K) ... -0.312 eV per atom

---

7.
# LaTbPr2Th PBE optimized geometry
data_LaTbPr2Th
_chemical_formula_sum 'La2 Tb2 Pr4 Th2'
_space_group_name_H-M_alt 'P 1 2/c 1'
_space_group_IT_number 13
_cell_length_a 8.7170
_cell_length_b 6.3579
_cell_length_c 6.4828
_cell_angle_alpha 90.00
_cell_angle_beta 90.11
_cell_angle_gamma 90.00
loop_
_space_group_symop_operation_xyz
'x,y,z'
'-x,-y,-z'
'-x,y,-z+1/2'
'x,-y,z+1/2'
loop_
_atom_site_label
_atom_site_fract_x
_atom_site_fract_y
_atom_site_fract_z
La1 0.0000 0.0395 0.2500
Tb1 0.5000 0.3100 0.2500
Pr1 0.3119 0.2120 0.7494
Th1 0.0000 0.5000 0.0000
# Energy ... -5.01 eV/atom
# ΔH_f (0 K) ... 0.300 eV per atom

---

8.
# Tm2Ag3Hg3 PBE optimized geometry
data_Tm2Ag3Hg3
_chemical_formula_sum 'Tm6 Ag9 Hg9'
_space_group_name_H-M_alt 'R 3 m'
_space_group_IT_number 160
_space_group_name_Hall 'R 3 -2"'
_cell_length_a 4.9523
_cell_length_b 4.9523
_cell_length_c 24.1664
_cell_angle_alpha 90.00
_cell_angle_beta 90.00
_cell_angle_gamma 120.00
loop_
_atom_site_label
_atom_site_fract_x
_atom_site_fract_y
_atom_site_fract_z
Tm1 0.0000 0.0000 0.0000
Tm2 0.0000 0.0000 0.4992
Ag1 0.0000 0.0000 0.1247
Ag2 0.0000 0.0000 0.2480
Ag3 0.0000 0.0000 0.7506
Hg1 0.0000 0.0000 0.3755
Hg2 0.0000 0.0000 0.6250
Hg3 0.0000 0.0000 0.8729
# Energy ... -2.58 eV/atom
# ΔH_f (0 K) ... -0.280 eV per atom